Entry 1:
Crystalline LiSiRu3 at its relaxed geometry, computed with PBE-GGA.

Unit cell a=4.417 b=4.417 c=4.417 alpha=90.00 beta=90.00 gamma=90.00
Atoms (fractional coordinates):
Li: 0.000 0.000 0.000
Si: 0.500 0.500 0.500
Ru: 0.000 0.500 0.500
Ru: 0.500 0.000 0.500
Ru: 0.500 0.500 0.000

- formation energy without anion corrections (meV/atom) = 684
- energy above the most stable polymorph in this dataset (meV per atom) = 0.0

=====

Entry 2:
Crystalline Rb2NaAgSe at its relaxed geometry, computed with PBE-GGA.

Unit cell a=6.661 b=6.661 c=5.420 alpha=90.00 beta=90.00 gamma=90.00
Atoms (fractional coordinates):
Rb: 0.000 0.500 0.000
Rb: 0.500 0.000 0.000
Na: 0.000 0.000 0.500
Ag: 0.500 0.500 0.500
Se: 0.000 0.000 0.000

- formation energy without anion corrections (meV/atom) = -491

=====

Entry 3:
Crystalline ReSi3C at its relaxed geometry, computed with PBE-GGA.

Unit cell a=4.663 b=4.663 c=4.663 alpha=90.00 beta=90.00 gamma=90.00
Atoms (fractional coordinates):
Re: 0.000 0.000 0.000
Si: 0.000 0.000 0.500
Si: 0.000 0.500 0.000
Si: 0.500 0.000 0.000
C: 0.500 0.500 0.500

- formation energy without anion corrections (meV/atom) = 1550
- energy above the most stable polymorph in this dataset (meV per atom) = 630.4